No. 1
# AcCe2In2Au2 | Alexandria via LeMat-Bulk | PBE-GGA | relaxed
data_AcCe2In2Au2
_chemical_formula_sum 'Ac3 Ce6 In6 Au6'
_cell_length_a 4.7968
_cell_length_b 4.7968
_cell_length_c 28.4345
_cell_angle_alpha 90.00
_cell_angle_beta 90.00
_cell_angle_gamma 120.00
_symmetry_space_group_name_H-M 'R -3 m'
_symmetry_Int_Tables_number 166
_symmetry_space_group_name_Hall '-R 3 2"'
loop_
_atom_site_label
_atom_site_fract_x
_atom_site_fract_y
_atom_site_fract_z
Ac1 0.0000 0.0000 0.0000
Ce1 0.0000 0.0000 0.1433
In1 0.0000 0.0000 0.2605
Au1 0.0000 0.0000 0.4350
# E_form: -509 meV/atom
# total moment: 1.10 μB/f.u.
# crystal system: trigonal
# DOS(E_F): 30.0 states/eV/cell
# VASP energy: -4.510 eV per atom

=====

No. 2
# LiCrIn2Ni | Alexandria via LeMat-Bulk | PBE-GGA | relaxed
data_LiCrIn2Ni
_chemical_formula_sum 'Li1 Cr1 In2 Ni1'
_cell_length_a 5.1125
_cell_length_b 5.1125
_cell_length_c 4.3185
_cell_angle_alpha 90.00
_cell_angle_beta 90.00
_cell_angle_gamma 90.00
_symmetry_space_group_name_H-M 'P 4/m m m'
_symmetry_Int_Tables_number 123
_symmetry_space_group_name_Hall '-P 4 2'
loop_
_atom_site_label
_atom_site_fract_x
_atom_site_fract_y
_atom_site_fract_z
Li1 0.0000 0.0000 0.0000
Cr1 0.5000 0.5000 0.5000
In1 0.0000 0.5000 0.5000
Ni1 0.5000 0.5000 0.0000
# E_form: 566 meV/atom
# total moment: 1.20 μB/f.u.
# crystal system: tetragonal
# DOS(E_F): 3.3 states/eV/cell
# VASP energy: -3.993 eV per atom

=====

No. 3
# AcPaPd2O6 | Alexandria via LeMat-Bulk | PBE-GGA | relaxed
data_AcPaPd2O6
_chemical_formula_sum 'Ac3 Pa3 Pd6 O18'
_cell_length_a 5.8505
_cell_length_b 5.8505
_cell_length_c 16.8276
_cell_angle_alpha 90.00
_cell_angle_beta 90.00
_cell_angle_gamma 120.00
_symmetry_space_group_name_H-M 'R -3'
_symmetry_Int_Tables_number 148
_symmetry_space_group_name_Hall '-R 3'
loop_
_atom_site_label
_atom_site_fract_x
_atom_site_fract_y
_atom_site_fract_z
Ac1 0.0000 0.0000 0.0000
Pa1 0.0000 0.0000 0.5000
Pd1 0.0000 0.0000 0.2376
O1 0.0023 0.6952 0.5758
# total moment: 3.61 μB/f.u.
# crystal system: trigonal
# DOS(E_F): 20.1 states/eV/cell
# VASP energy: -7.333 eV per atom
# E_form (uncorrected): -1.96 eV per atom

=====

No. 4
# Ac3GeCl2 | Alexandria via LeMat-Bulk | PBE-GGA | relaxed
data_Ac3GeCl2
_chemical_formula_sum 'Ac6 Ge2 Cl4'
_cell_length_a 4.6474
_cell_length_b 6.2544
_cell_length_c 12.7919
_cell_angle_alpha 90.00
_cell_angle_beta 90.00
_cell_angle_gamma 90.00
_symmetry_space_group_name_H-M 'I m m m'
_symmetry_Int_Tables_number 71
_symmetry_space_group_name_Hall '-I 2 2'
loop_
_atom_site_label
_atom_site_fract_x
_atom_site_fract_y
_atom_site_fract_z
Ac1 0.0000 0.0000 0.0000
Ac2 0.0000 0.0000 0.3391
Ge1 0.0000 0.5000 0.0000
Cl1 0.0000 0.5000 0.3385
# total moment: 0.00 μB/f.u.
# crystal system: orthorhombic
# DOS(E_F): 7.6 states/eV/cell
# VASP energy: -4.738 eV per atom
# E_form (uncorrected): -1.30 eV per atom

=====

No. 5
# NbMo6W5 | Alexandria via LeMat-Bulk | PBE-GGA | relaxed
data_NbMo6W5
_chemical_formula_sum 'Nb2 Mo12 W10'
_cell_length_a 4.4998
_cell_length_b 6.3737
_cell_length_c 13.4982
_cell_angle_alpha 90.00
_cell_angle_beta 90.00
_cell_angle_gamma 90.00
_symmetry_space_group_name_H-M 'I m m m'
_symmetry_Int_Tables_number 71
_symmetry_space_group_name_Hall '-I 2 2'
loop_
_atom_site_label
_atom_site_fract_x
_atom_site_fract_y
_atom_site_fract_z
Nb1 0.0000 0.0000 0.0000
Mo1 0.0000 0.2482 0.5000
Mo2 0.0000 0.2509 0.1676
W1 0.0000 0.0000 0.3338
W2 0.0000 0.5000 0.0000
W3 0.0000 0.5000 0.3322
# E_form: -54 meV/atom
# total moment: 0.00 μB/f.u.
# crystal system: orthorhombic
# DOS(E_F): 12.7 states/eV/cell
# VASP energy: -11.705 eV per atom

=====

No. 6
# Be3WS | Alexandria via LeMat-Bulk | PBE-GGA | relaxed
data_Be3WS
_chemical_formula_sum 'Be3 W1 S1'
_cell_length_a 4.3946
_cell_length_b 4.3946
_cell_length_c 4.3946
_cell_angle_alpha 90.00
_cell_angle_beta 90.00
_cell_angle_gamma 90.00
_symmetry_space_group_name_H-M 'P m -3 m'
_symmetry_Int_Tables_number 221
_symmetry_space_group_name_Hall '-P 4 2 3'
loop_
_atom_site_label
_atom_site_fract_x
_atom_site_fract_y
_atom_site_fract_z
Be1 0.0000 0.0000 0.5000
W1 0.0000 0.0000 0.0000
S1 0.5000 0.5000 0.5000
# energy above the lowest structure with this stoichiometry: 721 meV per atom
# total moment: 0.00 μB/f.u.
# crystal system: cubic
# DOS(E_F): 3.8 states/eV/cell
# VASP energy: -3.881 eV per atom
# E_form (uncorrected): 1.77 eV per atom

=====

No. 7
# Hf2Sb2Br | Alexandria via LeMat-Bulk | PBE-GGA | relaxed
data_Hf2Sb2Br
_chemical_formula_sum 'Hf4 Sb4 Br2'
_cell_length_a 7.9764
_cell_length_b 7.9764
_cell_length_c 3.7509
_cell_angle_alpha 90.00
_cell_angle_beta 90.00
_cell_angle_gamma 90.00
_symmetry_space_group_name_H-M 'P 4/m b m'
_symmetry_Int_Tables_number 127
_symmetry_space_group_name_Hall '-P 4 2ab'
loop_
_atom_site_label
_atom_site_fract_x
_atom_site_fract_y
_atom_site_fract_z
Hf1 0.1445 0.3555 0.0000
Sb1 0.1457 0.6457 0.5000
Br1 0.0000 0.0000 0.0000
# total moment: 0.00 μB/f.u.
# crystal system: tetragonal
# DOS(E_F): 3.5 states/eV/cell
# VASP energy: -6.457 eV per atom
# E_form (uncorrected): -0.49 eV per atom

=====

No. 8
# Sr2HfPd2 | Alexandria via LeMat-Bulk | PBE-GGA | relaxed
data_Sr2HfPd2
_chemical_formula_sum 'Sr4 Hf2 Pd4'
_cell_length_a 4.4077
_cell_length_b 4.4077
_cell_length_c 13.3558
_cell_angle_alpha 90.00
_cell_angle_beta 90.00
_cell_angle_gamma 90.00
_symmetry_space_group_name_H-M 'I 4/m m m'
_symmetry_Int_Tables_number 139
_symmetry_space_group_name_Hall '-I 4 2'
loop_
_atom_site_label
_atom_site_fract_x
_atom_site_fract_y
_atom_site_fract_z
Sr1 0.0000 0.5000 0.2500
Hf1 0.0000 0.0000 0.0000
Pd1 0.0000 0.0000 0.4056
# E_form: 310 meV/atom
# energy above the lowest structure with this stoichiometry: 186 meV per atom
# total moment: 0.00 μB/f.u.
# crystal system: tetragonal
# DOS(E_F): 12.7 states/eV/cell
# VASP energy: -4.431 eV per atom